Compound: CeTmBr6
Source: Alexandria
Functional: GGA-PBE
Structure: optimized geometry

Output
**Total magnetic moment**: 1.000 μB per cell
**E_form (uncorrected)**: -1.8021 eV/atom
**SG**: C2/m, No. 12
**Crystal system**: monoclinic
**Theoretical density**: 4.1 g/cm3

POSCAR file:
```
CeTmBr6
1.0
7.393 -0.288 -1.146
-4.127 6.141 -1.146
0.132 0.237 7.071
Ce Tm Br
1 1 6
Cartesian
0.000 0.000 0.000
1.699 3.045 2.389
0.822 5.419 3.537
4.181 3.545 3.537
-0.782 2.545 1.241
2.577 0.671 1.241
0.927 1.661 4.660
2.472 4.429 0.119
```